Entry from OQMD via LeMat-Bulk: a relaxed GdHoMg6 crystal (PBE-GGA).

The structure in extended XYZ format:
```
8
Lattice="5.172 0.000 0.000 0.000 5.172 0.000 0.000 0.000 7.320" Properties=species:S:1:pos:R:3 pbc="T T T"
Gd 0.000 0.000 0.000
Ho 2.586 2.586 3.660
Mg 2.586 2.586 0.000
Mg 2.586 0.000 1.843
Mg 0.000 2.586 1.843
Mg 0.000 0.000 3.660
Mg 2.586 0.000 5.477
Mg 0.000 2.586 5.477
```

Summary:
The theoretical density is 3.97 g cm⁻³. For the uncorrected energy, the calculation gives -2.391 eV per atom. As for the space group: P4/mmm (123). The calculation puts the total moment at 0.0 μB per cell.